Run w
Density functional theory data (PBE-GGA) for a geometry-optimized SmMgGa structure.

It has space group P-6m2 (No. 187), with a = 4.7389 Å, b = 4.7389 Å, c = 3.6944 Å, α = 90.00°, β = 90.00° and γ = 120.00°. Symmetry generates all atoms from Sm at (0.0000, 0.0000, 0.0000), Mg at (0.6667, 0.3333, 0.5000) and Ga at (0.3333, 0.6667, 0.5000).

The density of states at the Fermi level comes out at 1.26 states/eV per cell.



Run x
Density functional theory data (PBE-GGA) for a geometry-optimized SmMgGa structure.

It has space group P-62m (No. 189), with a = 7.3932 Å, b = 7.3932 Å, c = 4.5082 Å, α = 90.00°, β = 90.00° and γ = 120.00°. Symmetry generates all atoms from Sm at (0.0000, 0.5764, 0.0000), Mg at (0.0000, 0.2433, 0.5000), Ga at (0.0000, 0.0000, 0.0000) and Ga at (0.3333, 0.6667, 0.5000).

The density of states at the Fermi level comes out at 1.57 states/eV per cell.



Run y
Density functional theory data (PBE-GGA) for a geometry-optimized SmMgGa structure.

It has space group Fddd (No. 70, origin choice 2), with a = 8.3656 Å, b = 11.5174 Å, c = 12.8937 Å, α = 90.00°, β = 90.00° and γ = 90.00°. Symmetry generates all atoms from Sm at (0.0000, 0.0000, 0.0000), Mg at (0.1250, 0.2512, 0.6250) and Ga at (0.1250, 0.1250, 0.4440).

The density of states at the Fermi level comes out at 28.16 states/eV per cell.



Run z
Density functional theory data (PBE-GGA) for a geometry-optimized SmMgGa structure.

It has space group I4mm (No. 107), with a = 3.4163 Å, b = 3.4163 Å, c = 12.2442 Å, α = 90.00°, β = 90.00° and γ = 90.00°. Symmetry generates all atoms from Sm at (0.0000, 0.0000, 0.0000), Mg at (0.0000, 0.0000, 0.7056) and Ga at (0.0000, 0.0000, 0.3400).

The density of states at the Fermi level comes out at 4.35 states/eV per cell.



Most stable: run x



Run w
Density functional theory data (PBE-GGA) for a geometry-optimized SmMgGa structure.

It has space group Cmc2_1 (No. 36), with a = 4.3287 Å, b = 17.1872 Å, c = 4.0706 Å, α = 90.00°, β = 90.00° and γ = 90.00°. Symmetry generates all atoms from Sm at (0.0000, 0.0913, 0.0000), Mg at (0.0000, 0.2925, 0.0012) and Ga at (0.0000, 0.4559, 0.0001).

The density of states at the Fermi level comes out at 6.96 states/eV per cell.



Run x
Density functional theory data (PBE-GGA) for a geometry-optimized SmMgGa structure.

It has space group F-43m (No. 216), with a = 6.8073 Å, b = 6.8073 Å, c = 6.8073 Å, α = 90.00°, β = 90.00° and γ = 90.00°. Symmetry generates all atoms from Sm at (0.0000, 0.0000, 0.0000), Mg at (0.0000, 0.0000, 0.5000) and Ga at (0.2500, 0.2500, 0.7500).

The density of states at the Fermi level comes out at 2.42 states/eV per cell.



Most stable: run w



Run w
Density functional theory data (PBE-GGA) for a geometry-optimized SmMg2Ga structure.

It has space group Cmcm (No. 63), with a = 4.5634 Å, b = 10.8704 Å, c = 7.5629 Å, α = 90.00°, β = 90.00° and γ = 90.00°. Symmetry generates all atoms from Sm at (0.0000, 0.0740, 0.2500), Mg at (0.0000, 0.3627, 0.0553) and Ga at (0.0000, 0.2129, 0.7500).

The density of states at the Fermi level comes out at 5.21 states/eV per cell.



Run x
Density functional theory data (PBE-GGA) for a geometry-optimized SmMg2Ga structure.

It has space group P4/mmm (No. 123), with a = 4.4046 Å, b = 4.4046 Å, c = 4.8378 Å, α = 90.00°, β = 90.00° and γ = 90.00°. Symmetry generates all atoms from Sm at (0.0000, 0.0000, 0.0000), Mg at (0.0000, 0.5000, 0.5000) and Ga at (0.5000, 0.5000, 0.0000).

The density of states at the Fermi level comes out at 1.86 states/eV per cell.



Run y
Density functional theory data (PBE-GGA) for a geometry-optimized SmMg2Ga structure.

It has space group R-3m (No. 166, hexagonal axes), with a = 3.2184 Å, b = 3.2184 Å, c = 33.1493 Å, α = 90.00°, β = 90.00° and γ = 120.00°. Symmetry generates all atoms from Sm at (0.0000, 0.0000, 0.0000), Mg at (0.0000, 0.0000, 0.0982) and Ga at (0.0000, 0.0000, 0.5000).

The density of states at the Fermi level comes out at 8.37 states/eV per cell.



Most stable: run w



Run w
Density functional theory data (PBE-GGA) for a geometry-optimized SmMg3Ga2 structure.

It has space group C2/m (No. 12), with a = 16.4359 Å, b = 4.4696 Å, c = 8.2297 Å, α = 90.00°, β = 118.21° and γ = 90.00°. Symmetry generates all atoms from Sm at (0.1398, 0.0000, 0.0695), Mg at (0.0446, 0.0000, 0.3747), Mg at (0.1122, 0.5000, 0.7267), Mg at (0.1869, 0.5000, 0.4608), Ga at (0.0159, 0.5000, 0.1606) and Ga at (0.2113, 0.0000, 0.7354).

The density of states at the Fermi level comes out at 8.65 states/eV per cell.



Run x
Density functional theory data (PBE-GGA) for a geometry-optimized SmMg3Ga2 structure.

It has space group P-1 (No. 2), with a = 4.4867 Å, b = 8.4844 Å, c = 8.5729 Å, α = 119.65°, β = 105.17° and γ = 90.00°. Symmetry generates all atoms from Sm at (0.1294, 0.1302, 0.2595), Mg at (0.9995, 0.3320, 0.9990), Mg at (0.3328, 0.1377, 0.6658), Mg at (0.3332, 0.5280, 0.6667), Ga at (0.2050, 0.7051, 0.4103) and Ga at (0.4999, 0.1472, 0.9998).

The density of states at the Fermi level comes out at 3.31 states/eV per cell.



Most stable: run w



Run w
Density functional theory data (PBE-GGA) for a geometry-optimized SmMg2Ga6 structure.

It has space group Immm (No. 71), with a = 4.1222 Å, b = 7.1610 Å, c = 12.5125 Å, α = 90.00°, β = 90.00° and γ = 90.00°. Symmetry generates all atoms from Sm at (0.0000, 0.0000, 0.0000), Mg at (0.0000, 0.5000, 0.1175), Ga at (0.0000, 0.1798, 0.5000) and Ga at (0.0000, 0.3124, 0.3086).

The density of states at the Fermi level comes out at 6.89 states/eV per cell.



Run x
Density functional theory data (PBE-GGA) for a geometry-optimized SmMg2Ga6 structure.

It has space group P6/mmm (No. 191), with a = 7.8227 Å, b = 7.8227 Å, c = 3.3612 Å, α = 90.00°, β = 90.00° and γ = 120.00°. Symmetry generates all atoms from Sm at (0.0000, 0.0000, 0.0000), Mg at (0.3333, 0.6667, 0.0000) and Ga at (0.0000, 0.3386, 0.5000).

The density of states at the Fermi level comes out at 3.24 states/eV per cell.



Most stable: run x



Run w
Density functional theory data (PBE-GGA) for a geometry-optimized Mg8Ga2Sn structure.

It has space group C2/m (No. 12), with a = 19.6700 Å, b = 4.9385 Å, c = 5.1799 Å, α = 90.00°, β = 101.18° and γ = 90.00°. Symmetry generates all atoms from Mg at (0.0840, 0.0000, 0.1641), Mg at (0.0856, 0.5000, 0.5618), Mg at (0.1720, 0.5000, 0.1007), Mg at (0.2495, 0.0000, 0.3259), Ga at (0.1699, 0.0000, 0.7426) and Sn at (0.0000, 0.5000, 0.0000).

The density of states at the Fermi level comes out at 9.72 states/eV per cell.



Run x
Density functional theory data (PBE-GGA) for a geometry-optimized Mg8Ga2Sn structure.

It has space group C2/m (No. 12), with a = 16.2533 Å, b = 4.5473 Å, c = 7.0818 Å, α = 90.00°, β = 113.53° and γ = 90.00°. Symmetry generates all atoms from Mg at (0.0310, 0.0000, 0.2554), Mg at (0.0967, 0.5000, 0.9677), Mg at (0.1745, 0.5000, 0.4350), Mg at (0.1847, 0.0000, 0.7763), Ga at (0.1874, 0.0000, 0.1775) and Sn at (0.0000, 0.5000, 0.5000).

The density of states at the Fermi level comes out at 7.84 states/eV per cell.



Most stable: run x



Run w
Density functional theory data (PBE-GGA) for a geometry-optimized Mg6Ga5Sn structure.

It has space group Immm (No. 71), with a = 4.3735 Å, b = 8.3192 Å, c = 13.1962 Å, α = 90.00°, β = 90.00° and γ = 90.00°. Symmetry generates all atoms from Mg at (0.0000, 0.2347, 0.0000), Mg at (0.0000, 0.2571, 0.3313), Ga at (0.0000, 0.0000, 0.1695), Ga at (0.0000, 0.5000, 0.1689), Ga at (0.0000, 0.5000, 0.5000) and Sn at (0.0000, 0.0000, 0.5000).

The density of states at the Fermi level comes out at 9.37 states/eV per cell.



Run x
Density functional theory data (PBE-GGA) for a geometry-optimized Mg6Ga5Sn structure.

It has space group C2/m (No. 12), with a = 4.4651 Å, b = 13.1474 Å, c = 8.1985 Å, α = 90.00°, β = 92.10° and γ = 90.00°. Symmetry generates all atoms from Mg at (0.0001, 0.0000, 0.2397), Mg at (0.0037, 0.3310, 0.2392), Ga at (0.0000, 0.1640, 0.0000), Ga at (0.0000, 0.1740, 0.5000), Ga at (0.0000, 0.5000, 0.0000) and Sn at (0.0000, 0.5000, 0.5000).

The density of states at the Fermi level comes out at 7.29 states/eV per cell.



Most stable: run x



Run w
Density functional theory data (PBE-GGA) for a geometry-optimized MgGa4Sn structure.

It has space group F-43m (No. 216), with a = 7.9603 Å, b = 7.9603 Å, c = 7.9603 Å, α = 90.00°, β = 90.00° and γ = 90.00°. Symmetry generates all atoms from Mg at (0.0000, 0.0000, 0.0000), Ga at (0.1256, 0.1256, 0.6256) and Sn at (0.2500, 0.2500, 0.2500).

The density of states at the Fermi level comes out at 12.21 states/eV per cell.



Run x
Density functional theory data (PBE-GGA) for a geometry-optimized MgGa4Sn structure.

It has space group P-1 (No. 2), with a = 5.1220 Å, b = 6.1262 Å, c = 8.4758 Å, α = 103.19°, β = 96.33° and γ = 104.36°. Symmetry generates all atoms from Mg at (0.2480, 0.3730, 0.2443), Ga at (0.2395, 0.7101, 0.5906), Ga at (0.2494, 0.0288, 0.9204), Ga at (0.2496, 0.2324, 0.5807), Ga at (0.2601, 0.5406, 0.9202) and Sn at (0.2596, 0.8785, 0.2591).

The density of states at the Fermi level comes out at 3.61 states/eV per cell.



Most stable: run x